Record 1
## LiCrPb2 (GGA-PBE)

Data for LiCrPb2 after structural relaxation.

It has space group C2/m (No. 12), with a = 7.129 Å, b = 7.065 Å, c = 3.555 Å, α = 90.00°, β = 90.13° and γ = 90.00°. The distinct sites, in fractional coordinates, are Li at (0.000, 0.000, 0.000), Cr at (0.000, 0.500, 0.000) and Pb at (0.250, 0.250, 0.500).

The value obtained for the formation energy from the elements is 170 meV/atom. Its density of states at the Fermi level is 1.57 states/eV/f.u. The spin magnetization comes out at 8.14 μB/cell.

Record 2
## CaCr2Rh (GGA-PBE)

Data for CaCr2Rh after structural relaxation.

It has space group F-43m (No. 216), with a = 6.519 Å, b = 6.519 Å, c = 6.519 Å, α = 90.00°, β = 90.00° and γ = 90.00°. The distinct sites, in fractional coordinates, are Ca at (0.000, 0.000, 0.000), Cr at (0.000, 0.000, 0.500), Cr at (0.250, 0.250, 0.250) and Rh at (0.250, 0.250, 0.750).

The value obtained for the formation energy from the elements is 319 meV/atom. The energy above the lowest structure with this stoichiometry comes out at 93.9 meV per atom. Its density of states at the Fermi level is 3.63 states/eV/f.u. The spin magnetization comes out at 0.85 μB/cell.

Record 3
## TbCu12Ge6 (GGA-PBE)

Data for TbCu12Ge6 after structural relaxation.

It has space group R-3m (No. 166, hexagonal axes), with a = 10.6788 Å, b = 10.6788 Å, c = 8.8367 Å, α = 90.00°, β = 90.00° and γ = 120.00°. The distinct sites, in fractional coordinates, are Tb at (0.0000, 0.0000, 0.0000), Cu at (0.0000, 0.3876, 0.5000), Cu at (0.0822, 0.1644, 0.2935) and Ge at (0.0506, 0.5253, 0.2505).

The value obtained for the formation energy from the elements is 69 meV/atom. Its density of states at the Fermi level is 6.63 states/eV/f.u. The spin magnetization comes out at 0.00 μB/cell.

Record 4
## ZnIn2Ir (GGA-PBE)

Data for ZnIn2Ir after structural relaxation.

It has space group P4mm (No. 99), with a = 3.331 Å, b = 3.331 Å, c = 6.968 Å, α = 90.00°, β = 90.00° and γ = 90.00°. The distinct sites, in fractional coordinates, are Zn at (0.000, 0.000, 0.000), In at (0.000, 0.000, 0.594), In at (0.500, 0.500, 0.266) and Ir at (0.500, 0.500, 0.839).

The value obtained for the formation energy from the elements is 55 meV/atom. Its density of states at the Fermi level is 2.10 states/eV/f.u. The spin magnetization comes out at 0.00 μB/cell.

What did the third record say?
## TbCu12Ge6 (GGA-PBE)

Data for TbCu12Ge6 after structural relaxation.

It has space group R-3m (No. 166, hexagonal axes), with a = 10.6788 Å, b = 10.6788 Å, c = 8.8367 Å, α = 90.00°, β = 90.00° and γ = 120.00°. The distinct sites, in fractional coordinates, are Tb at (0.0000, 0.0000, 0.0000), Cu at (0.0000, 0.3876, 0.5000), Cu at (0.0822, 0.1644, 0.2935) and Ge at (0.0506, 0.5253, 0.2505).

The value obtained for the formation energy from the elements is 69 meV/atom. Its density of states at the Fermi level is 6.63 states/eV/f.u. The spin magnetization comes out at 0.00 μB/cell.